Version A
DFT (GGA-PBE) results for an optimized crystal structure of ZrV2Pd.

abc: 7.259 7.259 5.772
angles: 51.04 51.04 90.00
Atoms (fractional coordinates):
Pd  0.000  0.000  0.000
Pd  0.750  0.250  0.500
Zr  0.500  0.500  0.000
Zr  0.250  0.750  0.500
V  0.651  0.125  0.250
V  0.099  0.625  0.250
V  0.375  0.349  0.750
V  0.875  0.901  0.750

## Properties
* total magnetization: 0.0 μB/f.u.


Version B
DFT (GGA-PBE) results for an optimized crystal structure of ZrV2Pd.

abc: 4.471 4.471 4.471
angles: 60.00 60.00 60.00
Atoms (fractional coordinates):
Pd  0.500  0.500  0.500
Zr  0.000  0.000  0.000
V  0.250  0.250  0.250
V  0.750  0.750  0.750

## Properties
* total magnetization: 0.0 μB/f.u.


It is version A that is the least stable of them.


Version A
DFT (GGA-PBE) results for an optimized crystal structure of YPdW3.

abc: 4.816 4.816 4.816
angles: 90.00 90.00 90.00
Atoms (fractional coordinates):
Y  0.500  0.500  0.500
Pd  0.000  0.000  0.000
W  0.000  0.500  0.000
W  0.000  0.000  0.500
W  0.500  0.000  0.000

## Properties
* total magnetization: 0.0 μB/f.u.


Version B
DFT (GGA-PBE) results for an optimized crystal structure of YPdW3.

abc: 4.761 4.761 4.761
angles: 90.00 90.00 90.00
Atoms (fractional coordinates):
Y  0.000  0.000  0.000
Pd  0.500  0.500  0.500
W  0.000  0.500  0.000
W  0.000  0.000  0.500
W  0.500  0.000  0.000

## Properties
* total magnetization: 0.0 μB/f.u.


It is version B that is the least stable of them.


Version A
DFT (GGA-PBE) results for an optimized crystal structure of Y2PdW.

abc: 4.982 4.982 4.982
angles: 60.00 60.00 60.00
Atoms (fractional coordinates):
Y  0.250  0.250  0.250
Y  0.750  0.750  0.750
Pd  0.000  0.000  0.000
W  0.500  0.500  0.500

## Properties
* total magnetization: 1.5 μB/f.u.


Version B
DFT (GGA-PBE) results for an optimized crystal structure of Y2PdW.

abc: 4.361 4.361 10.183
angles: 77.64 77.64 90.00
Atoms (fractional coordinates):
Y  0.624  0.125  0.250
Y  0.126  0.625  0.250
Y  0.375  0.376  0.750
Y  0.875  0.874  0.750
Pd  0.500  0.500  0.000
Pd  0.250  0.750  0.500
W  0.000  0.000  0.000
W  0.750  0.250  0.500

## Properties
* total magnetization: 0.0 μB/f.u.


It is version B that is the least stable of them.


Version A
DFT (GGA-PBE) results for an optimized crystal structure of ZnPdW3.

abc: 4.514 4.514 4.514
angles: 90.00 90.00 90.00
Atoms (fractional coordinates):
Zn  0.000  0.000  0.000
Pd  0.500  0.500  0.500
W  0.000  0.500  0.000
W  0.000  0.000  0.500
W  0.500  0.000  0.000

## Properties
* total magnetization: 0.0 μB/f.u.


Version B
DFT (GGA-PBE) results for an optimized crystal structure of ZnPdW3.

abc: 4.730 4.730 4.730
angles: 90.00 90.00 90.00
Atoms (fractional coordinates):
Zn  0.500  0.500  0.500
Pd  0.000  0.000  0.000
W  0.000  0.500  0.000
W  0.000  0.000  0.500
W  0.500  0.000  0.000

## Properties
* total magnetization: 0.0 μB/f.u.


It is version B that is the least stable of them.


Version A
DFT (GGA-PBE) results for an optimized crystal structure of ZnPd3W.

abc: 4.830 4.830 4.830
angles: 90.00 90.00 90.00
Atoms (fractional coordinates):
Zn  0.500  0.500  0.500
Pd  0.000  0.500  0.000
Pd  0.000  0.000  0.500
Pd  0.500  0.000  0.000
W  0.000  0.000  0.000

## Properties
* total magnetization: 0.0 μB/f.u.


Version B
DFT (GGA-PBE) results for an optimized crystal structure of ZnPd3W.

abc: 4.535 4.535 4.535
angles: 90.00 90.00 90.00
Atoms (fractional coordinates):
Zn  0.000  0.000  0.000
Pd  0.000  0.500  0.000
Pd  0.000  0.000  0.500
Pd  0.500  0.000  0.000
W  0.500  0.500  0.500

## Properties
* total magnetization: 3.9 μB/f.u.


It is version A that is the least stable of them.


Version A
DFT (GGA-PBE) results for an optimized crystal structure of ZrPdW2.

abc: 4.593 4.593 4.593
angles: 60.00 60.00 60.00
Atoms (fractional coordinates):
Zr  0.000  0.000  0.000
Pd  0.500  0.500  0.500
W  0.250  0.250  0.250
W  0.750  0.750  0.750

## Properties
* total magnetization: 0.0 μB/f.u.


Version B
DFT (GGA-PBE) results for an optimized crystal structure of ZrPdW2.

abc: 7.598 7.598 5.976
angles: 50.52 50.52 90.00
Atoms (fractional coordinates):
Zr  0.500  0.500  0.000
Zr  0.250  0.750  0.500
Pd  0.000  0.000  0.000
Pd  0.750  0.250  0.500
W  0.652  0.125  0.250
W  0.098  0.625  0.250
W  0.375  0.348  0.750
W  0.875  0.902  0.750

## Properties
* total magnetization: 0.0 μB/f.u.


It is version B that is the least stable of them.


Version A
DFT (GGA-PBE) results for an optimized crystal structure of Zr2PdW.

abc: 4.729 4.729 4.729
angles: 60.00 60.00 60.00
Atoms (fractional coordinates):
Zr  0.250  0.250  0.250
Zr  0.750  0.750  0.750
Pd  0.000  0.000  0.000
W  0.500  0.500  0.500

## Properties
* total magnetization: 0.0 μB/f.u.


Version B
DFT (GGA-PBE) results for an optimized crystal structure of Zr2PdW.

abc: 4.122 4.122 9.994
angles: 78.10 78.10 90.00
Atoms (fractional coordinates):
Zr  0.629  0.125  0.250
Zr  0.121  0.625  0.250
Zr  0.375  0.371  0.750
Zr  0.875  0.879  0.750
Pd  0.500  0.500  0.000
Pd  0.250  0.750  0.500
W  0.000  0.000  0.000
W  0.750  0.250  0.500

## Properties
* total magnetization: 0.0 μB/f.u.


Version C
DFT (GGA-PBE) results for an optimized crystal structure of Zr2PdW.

abc: 3.355 3.355 6.723
angles: 90.00 90.00 90.00
Atoms (fractional coordinates):
Zr  0.000  0.000  0.759
Zr  0.000  0.000  0.241
Pd  0.500  0.500  0.500
W  0.500  0.500  0.000

## Properties
* total magnetization: 0.0 μB/f.u.


It is version B that is the least stable of them.


Version A
DFT (GGA-PBE) results for an optimized crystal structure of ZrPd2W.

abc: 4.607 4.607 4.607
angles: 60.00 60.00 60.00
Atoms (fractional coordinates):
Zr  0.000  0.000  0.000
Pd  0.250  0.250  0.250
Pd  0.750  0.750  0.750
W  0.500  0.500  0.500

## Properties
* total magnetization: 0.0 μB/f.u.


Version B
DFT (GGA-PBE) results for an optimized crystal structure of ZrPd2W.

abc: 3.984 3.984 9.717
angles: 78.17 78.17 90.00
Atoms (fractional coordinates):
Zr  0.500  0.500  0.000
Zr  0.250  0.750  0.500
Pd  0.636  0.125  0.250
Pd  0.114  0.625  0.250
Pd  0.375  0.364  0.750
Pd  0.875  0.886  0.750
W  0.000  0.000  0.000
W  0.750  0.250  0.500

## Properties
* total magnetization: 0.0 μB/f.u.


It is version B that is the least stable of them.